*w*
DFT (PBE) results for a relaxed Zr3Se crystal.

For the density of states at the Fermi level, the calculation gives 22.42 states/eV per cell.

It has space group Cmcm (No. 63), with a = 10.534 Å, b = 10.846 Å, c = 3.388 Å, α = 90.00°, β = 90.00° and γ = 90.00°. The inequivalent atoms are Zr at (0.000, 0.123, 0.250), Zr at (0.243, 0.378, 0.250) and Se at (0.000, 0.363, 0.250).

---

*x*
DFT (PBE) results for a relaxed Zr3Se crystal.

For the density of states at the Fermi level, the calculation gives 5.04 states/eV per cell.

It has space group Pm-3m (No. 221), with a = 5.048 Å, b = 5.048 Å, c = 5.048 Å, α = 90.00°, β = 90.00° and γ = 90.00°. The inequivalent atoms are Zr at (0.000, 0.000, 0.500) and Se at (0.000, 0.000, 0.000).

---

*y*
DFT (PBE) results for a relaxed Zr3Se crystal.

For the density of states at the Fermi level, the calculation gives 8.98 states/eV per cell.

It has space group Pmmn (No. 59, origin choice 2), with a = 5.173 Å, b = 5.898 Å, c = 5.529 Å, α = 90.00°, β = 90.00° and γ = 90.00°. The inequivalent atoms are Zr at (0.250, 0.000, 0.148), Zr at (0.250, 0.250, 0.648) and Se at (0.250, 0.750, 0.631).

---

*z*
DFT (PBE) results for a relaxed Zr3Se crystal.

For the density of states at the Fermi level, the calculation gives 6.98 states/eV per cell.

It has space group Cmmm (No. 65), with a = 4.232 Å, b = 5.035 Å, c = 8.208 Å, α = 90.00°, β = 90.00° and γ = 90.00°. The inequivalent atoms are Zr at (0.000, 0.000, 0.000), Zr at (0.000, 0.500, 0.275) and Se at (0.000, 0.000, 0.500).

---

Stability, lowest: *x*

---

*w*
DFT (PBE) results for a relaxed Zr3Se crystal.

For the density of states at the Fermi level, the calculation gives 30.48 states/eV per cell.

It has space group Fm-3m (No. 225), with a = 6.937 Å, b = 6.937 Å, c = 6.937 Å, α = 90.00°, β = 90.00° and γ = 90.00°. The inequivalent atoms are Zr at (0.000, 0.000, 0.000), Zr at (0.250, 0.250, 0.250) and Se at (0.000, 0.000, 0.500).

---

*x*
DFT (PBE) results for a relaxed Zr3Se crystal.

For the density of states at the Fermi level, the calculation gives 5.79 states/eV per cell.

It has space group C2/m (No. 12), with a = 10.085 Å, b = 3.371 Å, c = 5.146 Å, α = 90.00°, β = 103.95° and γ = 90.00°. The inequivalent atoms are Zr at (0.000, 0.000, 0.000), Zr at (0.228, 0.000, 0.726) and Se at (0.000, 0.500, 0.500).

---

Stability, lowest: *w*